Entry 1:
Entry from Alexandria: a crystal of Re2SiPt relaxed with PBEsol (meta-GGA SCAN).

Calculated values
The total magnetic moment is 0.00 μB per formula unit. For the calculated total energy, the calculation gives -221.182 eV per cell. The space group is F-43m (216).

Unit cell a=4.330 b=4.330 c=4.330 alpha=60.00 beta=60.00 gamma=60.00
Sites, in units of the cell vectors:
Pt (0.500, 0.500, 0.500)
Re (0.000, 0.000, 0.000)
Re (0.250, 0.250, 0.250)
Si (0.750, 0.750, 0.750)


Entry 2:
Entry from Alexandria: a crystal of AlTlBr4 relaxed with PBEsol (meta-GGA SCAN).

Calculated values
The total magnetic moment is 0.00 μB per formula unit. For the calculated total energy, the calculation gives -660.167 eV per cell. The space group is P2/c (13).

Unit cell a=7.423 b=8.568 c=13.105 alpha=105.36 beta=90.00 gamma=90.00
Sites, in units of the cell vectors:
Al (0.786, 0.712, 0.950)
Al (0.786, 0.288, 0.550)
Al (0.214, 0.288, 0.050)
Al (0.214, 0.712, 0.450)
Br (0.578, 0.849, 0.874)
Br (0.578, 0.151, 0.626)
Br (0.422, 0.151, 0.126)
Br (0.422, 0.849, 0.374)
Br (0.073, 0.780, 0.907)
Br (0.073, 0.220, 0.593)
Br (0.927, 0.220, 0.093)
Br (0.927, 0.780, 0.407)
Br (0.750, 0.793, 0.133)
Br (0.750, 0.207, 0.367)
Br (0.250, 0.207, 0.867)
Br (0.250, 0.793, 0.633)
Br (0.730, 0.438, 0.892)
Br (0.730, 0.562, 0.608)
Br (0.270, 0.562, 0.108)
Br (0.270, 0.438, 0.392)
Tl (0.379, 0.500, 0.750)
Tl (0.621, 0.500, 0.250)
Tl (0.905, 0.000, 0.750)
Tl (0.095, 0.000, 0.250)


Entry 3:
Entry from Alexandria: a crystal of ErSnPd relaxed with PBEsol (meta-GGA SCAN).

Calculated values
The total magnetic moment is 0.00 μB per formula unit. For the calculated total energy, the calculation gives -488.398 eV per cell. The formation energy is -3.1 eV per formula unit. The space group is Pnma (62).

Unit cell a=4.562 b=7.025 c=7.824 alpha=90.00 beta=90.00 gamma=90.00
Sites, in units of the cell vectors:
Er (0.750, 0.491, 0.795)
Er (0.750, 0.991, 0.705)
Er (0.250, 0.509, 0.205)
Er (0.250, 0.009, 0.295)
Sn (0.750, 0.306, 0.413)
Sn (0.750, 0.806, 0.087)
Sn (0.250, 0.694, 0.587)
Sn (0.250, 0.194, 0.913)
Pd (0.750, 0.208, 0.084)
Pd (0.750, 0.708, 0.416)
Pd (0.250, 0.792, 0.916)
Pd (0.250, 0.292, 0.584)


Q: Number 1 is which compound?
A: Re2SiPt